Material: Sc5PtRh4
Method: DFT, GGA-PBE
State: relaxed

a = 3.2052 Å, b = 3.2052 Å, c = 16.6035 Å
α = 90.00°, β = 90.00°, γ = 90.00°
With the nearest neighbours (Å) after each atom.
Space group P4/mmm (No. 123)
Symmetry-distinct sites (fractional):
Sc  0.0000  0.0000  0.0000 (multiplicity 1)  8 Rh 2.80
Sc  0.0000  0.0000  0.1983 (multiplicity 2)  8 Rh 2.80-2.81
Sc  0.0000  0.0000  0.3972 (multiplicity 2)  4 Rh 2.80, 4 Pt 2.84
Pt  0.5000  0.5000  0.5000 (multiplicity 1)  8 Sc 2.84
Rh  0.5000  0.5000  0.0993 (multiplicity 2)  8 Sc 2.80
Rh  0.5000  0.5000  0.2984 (multiplicity 2)  8 Sc 2.80-2.81

## Properties
* size of the total moment: 0.00 μB per atom
* energy of formation: -1.0647 eV/atom
* total DFT energy (no corrections): -77.75 eV per cell

Material: Co3SN
Method: DFT, GGA-PBE
State: relaxed

a = 3.7808 Å, b = 3.7808 Å, c = 3.7808 Å
α = 90.00°, β = 90.00°, γ = 90.00°
With the nearest neighbours (Å) after each atom.
Space group Pm-3m (No. 221)
Symmetry-distinct sites (fractional):
Co  0.0000  0.0000  0.5000 (multiplicity 3)  2 N 1.89
S  0.5000  0.5000  0.5000 (multiplicity 1)  12 Co 2.67
N  0.0000  0.0000  0.0000 (multiplicity 1)  6 Co 1.89

## Properties
* size of the total moment: 0.60 μB per atom
* total DFT energy (no corrections): -32.69 eV per cell
* energy relative to the elements, uncorrected: 0.22 eV/atom

Material: CoMoPb4
Method: DFT, GGA-PBE
State: relaxed

a = 8.8402 Å, b = 8.8402 Å, c = 8.8402 Å
α = 90.00°, β = 90.00°, γ = 90.00°
With the nearest neighbours (Å) after each atom.
Space group F-43m (No. 216)
Symmetry-distinct sites (fractional):
Co  0.0000  0.0000  0.0000 (multiplicity 4)  12 Pb 3.67, 4 Mo 3.83
Mo  0.2500  0.2500  0.7500 (multiplicity 4)  12 Pb 3.66, 4 Co 3.83
Pb  0.1246  0.1246  0.3754 (multiplicity 16)  6 Pb 3.12-3.14

## Properties
* size of the total moment: 0.93 μB per atom
* energy of formation: 1.2541 eV/atom
* total DFT energy (no corrections): -100.98 eV per cell

Material: MoAs
Method: DFT, GGA-PBE
State: relaxed

a = 5.3412 Å, b = 5.3412 Å, c = 5.1228 Å
α = 90.00°, β = 90.00°, γ = 90.00°
With the nearest neighbours (Å) after each atom.
Space group P4_2/mnm (No. 136)
Symmetry-distinct sites (fractional):
Mo  0.1646  0.1646  0.0000 (multiplicity 4)  1 Mo 2.49, 4 As 2.55-2.58
As  0.2057  0.2057  0.5000 (multiplicity 4)  4 Mo 2.55-2.58

## Properties
* size of the total moment: 0.00 μB per atom
* energy of formation: 0.3120 eV/atom
* total DFT energy (no corrections): -59.43 eV per cell

Material: Cu2N2O
Method: DFT, GGA-PBE
State: relaxed

a = 2.8194 Å, b = 2.8194 Å, c = 11.3211 Å
α = 90.00°, β = 90.00°, γ = 90.00°
With the nearest neighbours (Å) after each atom.
Space group I4/mmm (No. 139)
Symmetry-distinct sites (fractional):
Cu  0.0000  0.0000  0.1090 (multiplicity 4)  4 N 2.13, 4 O 2.34
N  0.0000  0.5000  0.2500 (multiplicity 4)  4 N 1.99, 4 Cu 2.13
O  0.0000  0.0000  0.5000 (multiplicity 2)  8 Cu 2.34

## Properties
* size of the total moment: 0.00 μB per atom
* total DFT energy (no corrections): -47.46 eV per cell
* energy relative to the elements, uncorrected: 1.21 eV/atom

Material: Mg3CuAu3
Method: DFT, GGA-PBE
State: relaxed

a = 9.2497 Å, b = 9.3954 Å, c = 5.9845 Å
α = 90.00°, β = 90.00°, γ = 90.00°
With the nearest neighbours (Å) after each atom.
Space group Cmmm (No. 65)
Symmetry-distinct sites (fractional):
Mg  0.0000  0.2426  0.0000 (multiplicity 4)  6 Au 2.78-2.89, 2 Cu 2.99
Mg  0.1839  0.0000  0.5000 (multiplicity 4)  4 Au 2.83, 2 Cu 2.85, 2 Mg 3.06
Mg  0.2452  0.5000  0.0000 (multiplicity 4)  6 Au 2.76-2.81, 2 Mg 3.06
Cu  0.0000  0.2434  0.5000 (multiplicity 4)  6 Au 2.73-2.79, 4 Mg 2.85-2.99
Au  0.0000  0.5000  0.2642 (multiplicity 4)  4 Mg 2.76-2.89, 2 Cu 2.79, 1 Au 2.82
Au  0.2500  0.2500  0.2567 (multiplicity 8)  2 Cu 2.73, 6 Mg 2.78-2.83, 1 Au 2.91

## Properties
* size of the total moment: 0.00 μB per atom
* energy of formation: -0.3696 eV/atom
* total DFT energy (no corrections): -85.20 eV per cell

Material: CdOs3
Method: DFT, GGA-PBE
State: relaxed

a = 6.3117 Å, b = 6.3117 Å, c = 6.3117 Å
α = 90.00°, β = 90.00°, γ = 90.00°
With the nearest neighbours (Å) after each atom.
Space group Fm-3m (No. 225)
Symmetry-distinct sites (fractional):
Cd  0.0000  0.0000  0.0000 (multiplicity 4)  8 Os 2.73
Os  0.0000  0.0000  0.5000 (multiplicity 4)  8 Os 2.73
Os  0.2500  0.2500  0.2500 (multiplicity 8)  4 Cd 2.73, 4 Os 2.73

## Properties
* size of the total moment: 0.43 μB per atom
* energy of formation: 0.9038 eV/atom
* total DFT energy (no corrections): -123.96 eV per cell

Material: GaPb2Se
Method: DFT, GGA-PBE
State: relaxed

a = 6.4793 Å, b = 6.4793 Å, c = 13.8949 Å
α = 90.00°, β = 90.00°, γ = 90.00°
With the nearest neighbours (Å) after each atom.
Space group I-42d (No. 122)
Symmetry-distinct sites (fractional):
Ga  0.0000  0.0000  0.0000 (multiplicity 4)  4 Pb 2.82
Pb  0.2358  0.2500  0.1250 (multiplicity 8)  2 Ga 2.82, 2 Se 2.93
Se  0.0000  0.0000  0.5000 (multiplicity 4)  4 Pb 2.93

## Properties
* size of the total moment: 0.00 μB per atom
* total DFT energy (no corrections): -55.10 eV per cell
* energy relative to the elements, uncorrected: 0.04 eV/atom